A relaxed structure of B2C. Source: the Alexandria database, functional PBE.

Results
E = -84.76 eV for the cell shown
Energy relative to the elements = 0.46 eV/atom
ΔE to the lowest computed polymorph = 278 meV/atom

a b c (Å): 2.7416 2.7018 12.0160
angles (deg): 90.00 90.00 90.00
Atoms (fractional coordinates):
B1 0.2500 0.0000 0.0473
B2 0.2500 0.0000 0.6981
B3 0.2500 0.5000 0.1578
B4 0.2500 0.5000 0.4348
B5 0.7500 0.0000 0.3019
B6 0.7500 0.0000 0.9527
B7 0.7500 0.5000 0.5652
B8 0.7500 0.5000 0.8422
C1 0.2500 0.0000 0.3790
C2 0.2500 0.5000 0.7822
C3 0.7500 0.0000 0.6210
C4 0.7500 0.5000 0.2178